Computed, not measured: La3Y3Er4 after structural relaxation at the PBE level of DFT.

Output
VASP energy (eV per cell): -51.6
ρ (g/cm3): 6.606
Energy of formation from the pure elements (eV/atom): 0.08
Density of states at the Fermi level (states/eV per cell): 13.480
Symmetry: Amm2

Cell lengths 3.7193, 9.5609, 9.5609 Å; angles 89.95, 90.00, 90.00 degrees
Atoms (fractional coordinates):
Y (0.5000, 0.8254, 0.1746)
Y (0.5000, 0.6735, 0.6718)
Y (0.5000, 0.3282, 0.3265)
La (0.0000, 0.9972, 0.4939)
La (0.5000, 0.1740, 0.8260)
La (0.0000, 0.5061, 0.0028)
Er (0.0000, 0.6234, 0.3766)
Er (0.0000, 0.1191, 0.1275)
Er (0.0000, 0.3804, 0.6196)
Er (0.0000, 0.8725, 0.8809)